(1)
Entry from the Alexandria database: AcTbPm2S4 after structural relaxation (PBE).

abc: 4.0369 7.0388 7.1561
angles: 71.05 90.00 90.00
Positions (direct):
Ac 0.5000 0.5000 0.0000
Tb 0.0000 0.5000 0.5000
Pm 0.0000 0.0000 0.0000
Pm 0.5000 0.0000 0.5000
S 0.0000 0.7581 0.7337
S 0.0000 0.2419 0.2663
S 0.5000 0.7477 0.2636
S 0.5000 0.2523 0.7364

Properties
**Total DFT energy (no corrections)**: -6.334 eV per atom
**Symmetry**: P2/m

---

(2)
Entry from the Alexandria database: CdSbP after structural relaxation (PBE).

abc: 4.8878 5.0409 7.4997
angles: 97.36 107.57 111.40
Positions (direct):
Cd 0.4175 0.2641 0.1976
Cd 0.8635 0.1086 0.5080
Sb 0.3125 0.8923 0.7856
Sb 0.7610 0.8107 0.1032
P 0.7948 0.4670 0.7744
P 0.4655 0.5672 0.5561

Properties
**Total DFT energy (no corrections)**: -3.378 eV per atom
**Energy above the lowest structure with this stoichiometry**: 116.2 meV per atom
**Symmetry**: P1

---

no.,ΔE_f (raw) (meV/atom)
1,-1990
2,104